# VTeRu2F, optimized geometry, DFT PBE with a Hubbard U
# E = -5.03 eV per atom
data_VTeRu2F
_chemical_formula_sum 'V1 Te1 Ru2 F1'
_symmetry_space_group_name_H-M 'P 4/m m m'
_symmetry_Int_Tables_number 123
_symmetry_space_group_name_Hall '-P 4 2'
_cell_length_a 4.842
_cell_length_b 4.842
_cell_length_c 4.124
_cell_angle_alpha 90.00
_cell_angle_beta 90.00
_cell_angle_gamma 90.00
loop_
_atom_site_label
_atom_site_type_symbol
_atom_site_fract_x
_atom_site_fract_y
_atom_site_fract_z
V1 V 0.000 0.000 0.000
Te1 Te 0.500 0.500 0.500
Ru1 Ru 0.000 0.500 0.500
F1 F 0.500 0.500 0.000